# Y5Ru4 (PBE, optimized geometry)
data_Y5Ru4
_cell_length_a 6.658
_cell_length_b 6.658
_cell_length_c 6.658
_cell_angle_alpha 98.43
_cell_angle_beta 98.43
_cell_angle_gamma 134.98
_symmetry_space_group_name_H-M 'P 1'
_symmetry_Int_Tables_number 1
loop_
_symmetry_equiv_pos_as_xyz
'x,y,z'
loop_
_atom_site_label
_atom_site_fract_x
_atom_site_fract_y
_atom_site_fract_z
Y1 0.000 0.000 0.000
Y2 0.315 0.315 0.631
Y3 0.315 0.685 0.000
Y4 0.685 0.315 0.000
Y5 0.685 0.685 0.369
Ru1 0.000 0.355 0.355
Ru2 0.000 0.645 0.645
Ru3 0.355 0.000 0.355
Ru4 0.645 0.000 0.645
# **DFT total energy**: -7.617 eV/atom
# **ρ**: 7308 kg/m³
# **Formation enthalpy at 0 K**: 0.097 eV per atom
# **Offset from the most stable computed form**: 0.271 eV/atom